Cs3ScRu: optimized geometry, GGA-PBE.

Unit cell a=6.0649 b=6.0649 c=6.0649 alpha=90.00 beta=90.00 gamma=90.00
Sites, in units of the cell vectors:
Cs (0.0000, 0.0000, 0.5000)
Cs (0.0000, 0.5000, 0.0000)
Cs (0.5000, 0.0000, 0.0000)
Sc (0.5000, 0.5000, 0.5000)
Ru (0.0000, 0.0000, 0.0000)

Output
V = 223 Å³/f.u.
Formation energy = 1.386 eV per atom
Symmetry = Pm-3m
Total energy = -11.24 eV/cell